Record 1
A relaxed structure of AcTaZn. Source: OQMD, functional GGA-PBE.

abc: 6.850 6.850 6.850
angles: 90.00 90.00 90.00
Positions (direct):
Ac 0.000 0.000 0.000
Ac 0.000 0.500 0.500
Ac 0.500 0.000 0.500
Ac 0.500 0.500 0.000
Ta 0.000 0.000 0.500
Ta 0.000 0.500 0.000
Ta 0.500 0.000 0.000
Ta 0.500 0.500 0.500
Zn 0.250 0.250 0.250
Zn 0.250 0.750 0.750
Zn 0.750 0.250 0.750
Zn 0.750 0.750 0.250

***

Record 2
A relaxed structure of YCuAgSn. Source: OQMD, functional GGA-PBE.

abc: 6.920 6.920 6.920
angles: 90.00 90.00 90.00
Positions (direct):
Y 0.000 0.000 0.000
Y 0.000 0.500 0.500
Y 0.500 0.000 0.500
Y 0.500 0.500 0.000
Cu 0.000 0.000 0.500
Cu 0.000 0.500 0.000
Cu 0.500 0.000 0.000
Cu 0.500 0.500 0.500
Ag 0.250 0.250 0.750
Ag 0.250 0.750 0.250
Ag 0.750 0.250 0.250
Ag 0.750 0.750 0.750
Sn 0.250 0.250 0.250
Sn 0.250 0.750 0.750
Sn 0.750 0.250 0.750
Sn 0.750 0.750 0.250

***

Record 3
A relaxed structure of Sm2Y2CIBr2Cl2. Source: OQMD, functional GGA-PBE.

abc: 8.935 8.935 8.506
angles: 104.35 104.35 25.08
Positions (direct):
Sm 0.146 0.146 0.078
Sm 0.854 0.854 0.922
Y 0.499 0.499 0.191
Y 0.501 0.501 0.809
C 0.000 0.000 0.000
I 0.000 0.000 0.500
Br 0.332 0.332 0.659
Br 0.668 0.668 0.341
Cl 0.332 0.332 0.150
Cl 0.668 0.668 0.850

***

| no. | spin magnetization (μB/cell) | relative energy among the computed polymorphs (meV/atom) |
| --- | --- | --- |
| 1 | 0.8 | 0 |
| 2 | 0.0 | 120 |
| 3 | 0.4 | 8 |